Entry 1:
Density functional theory data (GGA-PBE) for crystalline Sc2CuRh at its relaxed geometry.

The space group is F-43m (No. 216) and the conventional cell measures 6.4103, 6.4103 and 6.4103 Å, with angles of 90.00, 90.00 and 90.00 degrees. The distinct sites, in fractional coordinates, are Sc at (0.0000, 0.0000, 0.0000), Sc at (0.2500, 0.2500, 0.2500), Cu at (0.0000, 0.0000, 0.5000) and Rh at (0.2500, 0.2500, 0.7500).

The calculation puts the density of states at the Fermi level at 22.5 states/eV per cell. The calculation puts the magnetic moment at 0.00 μB/f.u. The value obtained for the formation enthalpy at 0 K is -346 meV per atom. For the total DFT energy (no corrections), the calculation gives -0.46847 Ry per atom.

=====

Entry 2:
Density functional theory data (GGA-PBE) for crystalline Sc2Cu2Rh at its relaxed geometry.

The space group is I4/mmm (No. 139) and the conventional cell measures 3.3206, 3.3206 and 15.7069 Å, with angles of 90.00, 90.00 and 90.00 degrees. The distinct sites, in fractional coordinates, are Sc at (0.0000, 0.0000, 0.0990), Cu at (0.0000, 0.5000, 0.2500) and Rh at (0.0000, 0.0000, 0.5000).

The calculation puts the density of states at the Fermi level at 7.2 states/eV per cell. The calculation puts the magnetic moment at 0.00 μB/f.u. The value obtained for the formation enthalpy at 0 K is -323 meV per atom. For the total DFT energy (no corrections), the calculation gives -0.43838 Ry per atom.

=====

Entry 3:
Density functional theory data (GGA-PBE) for crystalline Sc2CuRh at its relaxed geometry.

The space group is Fm-3m (No. 225) and the conventional cell measures 6.5014, 6.5014 and 6.5014 Å, with angles of 90.00, 90.00 and 90.00 degrees. The distinct sites, in fractional coordinates, are Sc at (0.2500, 0.2500, 0.2500), Cu at (0.0000, 0.0000, 0.0000) and Rh at (0.0000, 0.0000, 0.5000).

The calculation puts the density of states at the Fermi level at 9.6 states/eV per cell. The calculation puts the magnetic moment at 0.00 μB/f.u. The value obtained for the formation enthalpy at 0 K is -640 meV per atom. For the total DFT energy (no corrections), the calculation gives -0.49008 Ry per atom.

=====

Entry 4:
Density functional theory data (GGA-PBE) for crystalline Sc2Cu2Rh at its relaxed geometry.

The space group is C2/m (No. 12) and the conventional cell measures 7.5368, 4.7414 and 4.8304 Å, with angles of 90.00, 109.74 and 90.00 degrees. The distinct sites, in fractional coordinates, are Sc at (0.2113, 0.0000, 0.1852), Cu at (0.0703, 0.5000, 0.2666) and Rh at (0.0000, 0.0000, 0.5000).

The calculation puts the density of states at the Fermi level at 6.1 states/eV per cell. The calculation puts the magnetic moment at 0.00 μB/f.u. The value obtained for the formation enthalpy at 0 K is -403 meV per atom. For the total DFT energy (no corrections), the calculation gives -0.44425 Ry per atom.

=====

Entry 5:
Density functional theory data (GGA-PBE) for crystalline Sc8CuRh2 at its relaxed geometry.

The space group is Cm (No. 8) and the conventional cell measures 7.8802, 12.2970 and 5.1588 Å, with angles of 90.00, 107.90 and 90.00 degrees. The distinct sites, in fractional coordinates, are Sc at (0.0000, 0.0000, 0.0000), Sc at (0.0799, 0.3741, 0.7749), Sc at (0.1678, 0.1262, 0.5866), Sc at (0.2436, 0.5000, 0.3687), Sc at (0.3718, 0.2246, 0.1857), Cu at (0.3717, 0.0000, 0.2616) and Rh at (0.3757, 0.3071, 0.6879).

The calculation puts the density of states at the Fermi level at 32.3 states/eV per cell. The calculation puts the magnetic moment at 0.00 μB/f.u. The value obtained for the formation enthalpy at 0 K is -308 meV per atom. For the total DFT energy (no corrections), the calculation gives -0.48669 Ry per atom.

=====

Entry 6:
Density functional theory data (GGA-PBE) for crystalline Sc2Cu2Rh at its relaxed geometry.

The space group is P4/mbm (No. 127) and the conventional cell measures 6.9587, 6.9587 and 3.4029 Å, with angles of 90.00, 90.00 and 90.00 degrees. The distinct sites, in fractional coordinates, are Sc at (0.1829, 0.3171, 0.0000), Cu at (0.1202, 0.6202, 0.5000) and Rh at (0.0000, 0.0000, 0.5000).

The calculation puts the density of states at the Fermi level at 9.3 states/eV per cell. The calculation puts the magnetic moment at 0.00 μB/f.u. The value obtained for the formation enthalpy at 0 K is -369 meV per atom. For the total DFT energy (no corrections), the calculation gives -0.44175 Ry per atom.